[1]
A relaxed TlCd2Bi crystal. Source: the Alexandria database, functional GGA-PBEsol.

The crystal system is cubic. Its formation energy is 0.049 eV per atom.

The space group is Fm-3m (No. 225) and the conventional cell measures 7.470, 7.470 and 7.470 Å, with angles of 90.00, 90.00 and 90.00 degrees. The asymmetric unit holds Tl at (0.000, 0.000, 0.000), Cd at (0.250, 0.250, 0.250) and Bi at (0.000, 0.000, 0.500).

***

[2]
A relaxed YCdBi3 crystal. Source: the Alexandria database, functional GGA-PBEsol.

The crystal system is cubic. Its formation energy is 0.371 eV per atom.

The space group is Pm-3m (No. 221) and the conventional cell measures 5.520, 5.520 and 5.520 Å, with angles of 90.00, 90.00 and 90.00 degrees. The asymmetric unit holds Y at (0.000, 0.000, 0.000), Cd at (0.500, 0.500, 0.500) and Bi at (0.000, 0.500, 0.500).

***

no.,total energy (eV for the cell shown),theoretical density (g/cm3)
1,-36.5,10.168
2,-19.0,8.175